# 1
PBEsol CsRe2PtSe, relaxed; space-group type = P4/mmm, No. 123; formation energy (no corrections) = 3.9150 eV per atom
1.0
4.894 0.000 0.000
0.000 4.894 0.000
0.000 0.000 5.218
Cs Re Pt Se
1 2 1 1
Direct
0.000 0.000 0.000
0.000 0.500 0.000
0.500 0.000 0.000
0.500 0.500 0.500
0.000 0.000 0.500


# 2
PBEsol Cs2PtRh, relaxed; formation energy = 1.08 eV/atom; space-group type = Fm-3m, No. 225
1.0
0.000 3.742 3.742
3.742 0.000 3.742
3.742 3.742 0.000
Cs Pt Rh
2 1 1
Direct
0.250 0.250 0.250
0.750 0.750 0.750
0.000 0.000 0.000
0.500 0.500 0.500


# 3
PBEsol Cs2Sb2Pt, relaxed; space-group type = Cmcm, No. 63; formation energy (no corrections) = -0.4733 eV per atom
1.0
3.685 -7.530 0.000
3.685 7.530 0.000
0.000 0.000 6.792
Cs Sb Pt
4 4 2
Direct
0.101 0.899 0.750
0.303 0.697 0.250
0.697 0.303 0.750
0.899 0.101 0.250
0.210 0.407 0.750
0.407 0.210 0.250
0.593 0.790 0.750
0.790 0.593 0.250
0.500 0.500 0.000
0.500 0.500 0.500


# 4
PBEsol CsSb3Pt, relaxed; space-group type = Pm-3m, No. 221; formation energy (no corrections) = 0.1079 eV per atom
1.0
5.396 0.000 0.000
0.000 5.396 0.000
0.000 0.000 5.396
Cs Sb Pt
1 3 1
Direct
0.000 0.000 0.000
0.000 0.500 0.500
0.500 0.000 0.500
0.500 0.500 0.000
0.500 0.500 0.500